(1)
# SrCr2Fe, relaxed, DFT PBE
data_SrCr2Fe
_symmetry_space_group_name_H-M 'P 1'
_symmetry_Int_Tables_number 1
_cell_length_a 5.405
_cell_length_b 5.405
_cell_length_c 5.405
_cell_angle_alpha 139.78
_cell_angle_beta 139.78
_cell_angle_gamma 58.19
loop_
_symmetry_equiv_pos_as_xyz
'x,y,z'
loop_
_atom_site_label
_atom_site_type_symbol
_atom_site_fract_x
_atom_site_fract_y
_atom_site_fract_z
Fe1 Fe 0.250 0.750 0.500
Cr1 Cr 0.000 0.000 0.000
Cr2 Cr 0.500 0.500 0.000
Sr1 Sr 0.750 0.250 0.500
# electronic total energy: -5.915 eV per atom
# DFT formation energy: 1.43 eV per atom
# energy relative to the lowest polymorph listed for this composition: 877 meV/atom
# space-group type: No. 139


(2)
# SrCr2Fe, relaxed, DFT PBE
data_SrCr2Fe
_symmetry_space_group_name_H-M 'P 1'
_symmetry_Int_Tables_number 1
_cell_length_a 3.048
_cell_length_b 3.043
_cell_length_c 8.210
_cell_angle_alpha 68.18
_cell_angle_beta 90.00
_cell_angle_gamma 90.00
loop_
_symmetry_equiv_pos_as_xyz
'x,y,z'
loop_
_atom_site_label
_atom_site_type_symbol
_atom_site_fract_x
_atom_site_fract_y
_atom_site_fract_z
Sr1 Sr 0.500 0.765 0.736
Cr1 Cr 0.500 0.243 0.257
Cr2 Cr 0.000 0.917 0.082
Fe1 Fe 0.000 0.575 0.425
# electronic total energy: -6.724 eV per atom
# DFT formation energy: 0.62 eV per atom
# energy relative to the lowest polymorph listed for this composition: 68 meV/atom
# space-group type: No. 6


(3)
# SrCr2Fe, relaxed, DFT PBE
data_SrCr2Fe
_symmetry_space_group_name_H-M 'P 1'
_symmetry_Int_Tables_number 1
_cell_length_a 5.690
_cell_length_b 5.690
_cell_length_c 5.690
_cell_angle_alpha 146.70
_cell_angle_beta 123.35
_cell_angle_gamma 67.32
loop_
_symmetry_equiv_pos_as_xyz
'x,y,z'
loop_
_atom_site_label
_atom_site_type_symbol
_atom_site_fract_x
_atom_site_fract_y
_atom_site_fract_z
Cr1 Cr 0.563 0.563 0.000
Cr2 Cr 0.937 0.937 0.000
Sr1 Sr 0.250 0.750 0.500
Fe1 Fe 0.750 0.250 0.500
# electronic total energy: -6.397 eV per atom
# DFT formation energy: 0.95 eV per atom
# energy relative to the lowest polymorph listed for this composition: 394 meV/atom
# space-group type: No. 71


(4)
# SrCr2Fe, relaxed, DFT PBE
data_SrCr2Fe
_symmetry_space_group_name_H-M 'P 1'
_symmetry_Int_Tables_number 1
_cell_length_a 5.052
_cell_length_b 5.052
_cell_length_c 5.052
_cell_angle_alpha 132.04
_cell_angle_beta 115.25
_cell_angle_gamma 84.48
loop_
_symmetry_equiv_pos_as_xyz
'x,y,z'
loop_
_atom_site_label
_atom_site_type_symbol
_atom_site_fract_x
_atom_site_fract_y
_atom_site_fract_z
Cr1 Cr 0.946 0.946 0.000
Cr2 Cr 0.730 0.230 0.500
Sr1 Sr 0.256 0.756 0.500
Fe1 Fe 0.569 0.569 0.000
# electronic total energy: -6.478 eV per atom
# DFT formation energy: 0.87 eV per atom
# energy relative to the lowest polymorph listed for this composition: 313 meV/atom
# space-group type: No. 44


(5)
# SrCrFe2, relaxed, DFT PBE
data_SrCrFe2
_symmetry_space_group_name_H-M 'P 1'
_symmetry_Int_Tables_number 1
_cell_length_a 6.311
_cell_length_b 5.207
_cell_length_c 2.809
_cell_angle_alpha 90.10
_cell_angle_beta 63.38
_cell_angle_gamma 119.02
loop_
_symmetry_equiv_pos_as_xyz
'x,y,z'
loop_
_atom_site_label
_atom_site_type_symbol
_atom_site_fract_x
_atom_site_fract_y
_atom_site_fract_z
Cr1 Cr 0.500 0.500 0.000
Fe1 Fe 0.000 0.000 0.000
Fe2 Fe 0.500 0.000 0.500
Sr1 Sr 0.000 0.500 0.500
# electronic total energy: -5.963 eV per atom
# DFT formation energy: 1.09 eV per atom
# energy relative to the lowest polymorph listed for this composition: 646 meV/atom
# space-group type: No. 12


(6)
# SrCr2Fe, relaxed, DFT PBE
data_SrCr2Fe
_symmetry_space_group_name_H-M 'P 1'
_symmetry_Int_Tables_number 1
_cell_length_a 3.305
_cell_length_b 3.300
_cell_length_c 6.885
_cell_angle_alpha 90.00
_cell_angle_beta 90.00
_cell_angle_gamma 90.00
loop_
_symmetry_equiv_pos_as_xyz
'x,y,z'
loop_
_atom_site_label
_atom_site_type_symbol
_atom_site_fract_x
_atom_site_fract_y
_atom_site_fract_z
Sr1 Sr 0.500 0.500 0.750
Fe1 Fe 0.500 0.500 0.250
Cr1 Cr 0.000 0.000 0.111
Cr2 Cr 0.000 0.000 0.389
# electronic total energy: -6.623 eV per atom
# DFT formation energy: 0.73 eV per atom
# energy relative to the lowest polymorph listed for this composition: 169 meV/atom
# space-group type: No. 123


(7)
# SrCrFe2, relaxed, DFT PBE
data_SrCrFe2
_symmetry_space_group_name_H-M 'P 1'
_symmetry_Int_Tables_number 1
_cell_length_a 3.086
_cell_length_b 3.115
_cell_length_c 7.830
_cell_angle_alpha 66.57
_cell_angle_beta 90.00
_cell_angle_gamma 90.00
loop_
_symmetry_equiv_pos_as_xyz
'x,y,z'
loop_
_atom_site_label
_atom_site_type_symbol
_atom_site_fract_x
_atom_site_fract_y
_atom_site_fract_z
Cr1 Cr 0.500 0.750 0.750
Fe1 Fe 0.000 0.090 0.910
Fe2 Fe 0.000 0.410 0.590
Sr1 Sr 0.500 0.250 0.250
# electronic total energy: -6.483 eV per atom
# DFT formation energy: 0.57 eV per atom
# energy relative to the lowest polymorph listed for this composition: 126 meV/atom
# space-group type: No. 47


(8)
# SrCrFe2, relaxed, DFT PBE
data_SrCrFe2
_symmetry_space_group_name_H-M 'P 1'
_symmetry_Int_Tables_number 1
_cell_length_a 5.689
_cell_length_b 5.689
_cell_length_c 5.689
_cell_angle_alpha 148.20
_cell_angle_beta 126.96
_cell_angle_gamma 63.18
loop_
_symmetry_equiv_pos_as_xyz
'x,y,z'
loop_
_atom_site_label
_atom_site_type_symbol
_atom_site_fract_x
_atom_site_fract_y
_atom_site_fract_z
Fe1 Fe 0.973 0.973 0.000
Fe2 Fe 0.795 0.295 0.500
Cr1 Cr 0.218 0.718 0.500
Sr1 Sr 0.514 0.514 0.000
# electronic total energy: -6.147 eV per atom
# DFT formation energy: 0.91 eV per atom
# energy relative to the lowest polymorph listed for this composition: 462 meV/atom
# space-group type: No. 44


(9)
# SrCr2Fe, relaxed, DFT PBE
data_SrCr2Fe
_symmetry_space_group_name_H-M 'P 1'
_symmetry_Int_Tables_number 1
_cell_length_a 4.386
_cell_length_b 4.386
_cell_length_c 4.386
_cell_angle_alpha 60.00
_cell_angle_beta 60.00
_cell_angle_gamma 60.00
loop_
_symmetry_equiv_pos_as_xyz
'x,y,z'
loop_
_atom_site_label
_atom_site_type_symbol
_atom_site_fract_x
_atom_site_fract_y
_atom_site_fract_z
Sr1 Sr 0.500 0.500 0.500
Cr1 Cr 0.750 0.750 0.750
Cr2 Cr 0.250 0.250 0.250
Fe1 Fe 0.000 0.000 0.000
# electronic total energy: -5.971 eV per atom
# DFT formation energy: 1.38 eV per atom
# energy relative to the lowest polymorph listed for this composition: 820 meV/atom
# space-group type: No. 225


(10)
# SrCrFe, relaxed, DFT PBE
data_SrCrFe
_symmetry_space_group_name_H-M 'P 1'
_symmetry_Int_Tables_number 1
_cell_length_a 5.043
_cell_length_b 5.043
_cell_length_c 5.043
_cell_angle_alpha 60.00
_cell_angle_beta 60.00
_cell_angle_gamma 60.00
loop_
_symmetry_equiv_pos_as_xyz
'x,y,z'
loop_
_atom_site_label
_atom_site_type_symbol
_atom_site_fract_x
_atom_site_fract_y
_atom_site_fract_z
Sr1 Sr 0.250 0.250 0.250
Fe1 Fe 0.500 0.500 0.500
Cr1 Cr 0.000 0.000 0.000
# electronic total energy: -4.871 eV per atom
# DFT formation energy: 1.72 eV per atom
# energy relative to the lowest polymorph listed for this composition: 1096 meV/atom
# space-group type: No. 216


(11)
# SrCr2Fe, relaxed, DFT PBE
data_SrCr2Fe
_symmetry_space_group_name_H-M 'P 1'
_symmetry_Int_Tables_number 1
_cell_length_a 4.601
_cell_length_b 4.601
_cell_length_c 8.450
_cell_angle_alpha 74.20
_cell_angle_beta 74.20
_cell_angle_gamma 90.00
loop_
_symmetry_equiv_pos_as_xyz
'x,y,z'
loop_
_atom_site_label
_atom_site_type_symbol
_atom_site_fract_x
_atom_site_fract_y
_atom_site_fract_z
Fe1 Fe 0.500 0.500 0.000
Fe2 Fe 0.250 0.750 0.500
Cr1 Cr 0.375 0.625 0.250
Cr2 Cr 0.375 0.125 0.250
Cr3 Cr 0.375 0.625 0.750
Cr4 Cr 0.875 0.625 0.750
Sr1 Sr 0.000 0.000 0.000
Sr2 Sr 0.750 0.250 0.500
# electronic total energy: -6.193 eV per atom
# DFT formation energy: 1.16 eV per atom
# energy relative to the lowest polymorph listed for this composition: 599 meV/atom
# space-group type: No. 141


(12)
# SrCrFe3, relaxed, DFT PBE
data_SrCrFe3
_symmetry_space_group_name_H-M 'P 1'
_symmetry_Int_Tables_number 1
_cell_length_a 4.749
_cell_length_b 4.749
_cell_length_c 4.749
_cell_angle_alpha 90.00
_cell_angle_beta 90.00
_cell_angle_gamma 90.00
loop_
_symmetry_equiv_pos_as_xyz
'x,y,z'
loop_
_atom_site_label
_atom_site_type_symbol
_atom_site_fract_x
_atom_site_fract_y
_atom_site_fract_z
Fe1 Fe 0.500 0.000 0.000
Fe2 Fe 0.000 0.500 0.000
Fe3 Fe 0.000 0.000 0.500
Cr1 Cr 0.500 0.500 0.500
Sr1 Sr 0.000 0.000 0.000
# electronic total energy: -4.953 eV per atom
# DFT formation energy: 2.39 eV per atom
# energy relative to the lowest polymorph listed for this composition: 1536 meV/atom
# space-group type: No. 221